[1]
This record from the Alexandria database describes a relaxed structure of CaSc2Pb. The functional is PBE.

Its energy of formation is -16.1 kJ per mole of atoms. The calculation puts the calculated volume at 26.18 Å³/atom. The calculation puts the uncorrected energy at -4.7604 eV/atom.

a b c (Å): 6.0713 6.0713 4.5075
angles (deg): 68.21 68.21 43.44
Fractional positions:
Ca: 0.4994 0.4994 0.5006
Sc: 0.2500 0.2500 0.2500
Sc: 0.0008 0.0008 0.9992
Pb: 0.7498 0.7498 0.7502

=====

[2]
This record from the Alexandria database describes a relaxed structure of BePICl2. The functional is PBE.

The calculation puts the calculated volume at 31.20 Å³/atom. The value obtained for the uncorrected formation energy is 107.9 kJ/mol of atoms. The value obtained for the excess energy over the best structure of this formula in the dataset is 113.57 kJ/mol of atoms. The calculation puts the uncorrected energy at -1.7573 eV/atom.

a b c (Å): 5.4450 5.4450 5.2623
angles (deg): 90.00 90.00 90.00
Fractional positions:
Be: 0.5000 0.5000 0.5000
I: 0.0000 0.0000 0.0000
Cl: 0.0000 0.5000 0.0000
Cl: 0.5000 0.0000 0.0000
P: 0.0000 0.0000 0.5000

=====

[3]
This record from the Alexandria database describes a relaxed structure of CeNdNp2P4. The functional is PBE.

Its energy of formation is -114.2 kJ per mole of atoms. The calculation puts the calculated volume at 23.39 Å³/atom. The calculation puts the uncorrected energy at -8.4614 eV/atom.

a b c (Å): 4.0407 7.0051 7.0096
angles (deg): 109.44 90.00 90.00
Fractional positions:
P: 0.5000 0.2519 0.2629
P: 0.5000 0.7481 0.7371
P: 0.0000 0.7579 0.2659
P: 0.0000 0.2421 0.7341
Ce: 0.0000 0.0000 0.0000
Np: 0.5000 0.0000 0.5000
Np: 0.0000 0.5000 0.5000
Nd: 0.5000 0.5000 0.0000

=====

[4]
This record from the Alexandria database describes a relaxed structure of Rb4LaSb3O12. The functional is PBE.

The calculation puts the calculated volume at 15.47 Å³/atom. The value obtained for the uncorrected formation energy is -154.3 kJ/mol of atoms. The calculation puts the uncorrected energy at -5.6324 eV/atom.

a b c (Å): 7.3806 7.3806 7.3806
angles (deg): 109.47 109.47 109.47
Fractional positions:
O: 0.2500 0.7500 0.5000
O: 0.5000 0.2500 0.7500
O: 0.2749 0.0000 0.2749
O: 0.7251 0.0000 0.7251
O: 0.5000 0.7500 0.2500
O: 0.2749 0.2749 0.0000
O: 0.0000 0.7251 0.7251
O: 0.7251 0.7251 0.0000
O: 0.2500 0.5000 0.7500
O: 0.7500 0.2500 0.5000
O: 0.7500 0.5000 0.2500
O: 0.0000 0.2749 0.2749
Rb: 0.5000 0.5000 0.5000
Rb: 0.0000 0.0000 0.5000
Rb: 0.5000 0.0000 0.0000
Rb: 0.0000 0.5000 0.0000
La: 0.0000 0.0000 0.0000
Sb: 0.5000 0.5000 0.0000
Sb: 0.0000 0.5000 0.5000
Sb: 0.5000 0.0000 0.5000

=====

[5]
This record from the Alexandria database describes a relaxed structure of CaSmPdRu. The functional is PBE.

Its energy of formation is -29.0 kJ per mole of atoms. The calculation puts the calculated volume at 21.11 Å³/atom. The calculation puts the uncorrected energy at -5.5974 eV/atom.

a b c (Å): 4.9248 4.9248 4.9248
angles (deg): 60.00 60.00 60.00
Fractional positions:
Pd: 0.7500 0.7500 0.7500
Ru: 0.2500 0.2500 0.2500
Sm: 0.0000 0.0000 0.0000
Ca: 0.5000 0.5000 0.5000

=====

[6]
This record from the Alexandria database describes a relaxed structure of BaP2Pb. The functional is PBE.

Its energy of formation is -2.4 kJ per mole of atoms. The calculation puts the calculated volume at 26.91 Å³/atom. The calculation puts the uncorrected energy at -4.1378 eV/atom.

a b c (Å): 6.2941 6.2941 6.2941
angles (deg): 138.67 138.67 59.88
Fractional positions:
Pb: 0.5000 0.5000 0.0000
P: 0.0000 0.0000 0.0000
P: 0.2500 0.7500 0.5000
Ba: 0.7500 0.2500 0.5000

=====

What did the fifth record say?
This record from the Alexandria database describes a relaxed structure of CaSmPdRu. The functional is PBE.

Its energy of formation is -29.0 kJ per mole of atoms. The calculation puts the calculated volume at 21.11 Å³/atom. The calculation puts the uncorrected energy at -5.5974 eV/atom.

a b c (Å): 4.9248 4.9248 4.9248
angles (deg): 60.00 60.00 60.00
Fractional positions:
Pd: 0.7500 0.7500 0.7500
Ru: 0.2500 0.2500 0.2500
Sm: 0.0000 0.0000 0.0000
Ca: 0.5000 0.5000 0.5000